The following is a DFT calculation (GGA-PBEsol) of a relaxed TaZnCu2 crystal.

Cell: 2.766 2.766 7.040 Å, 90.00 90.00 90.00°
Fractional coordinates of all 4 atoms:
Ta1 0.000 0.000 0.000
Zn1 0.500 0.500 0.286
Cu1 0.000 0.000 0.514
Cu2 0.500 0.500 0.733

## Properties
SG: P4mm
Calculated formation energy: 0.0218 eV per atom